# Nb4CuAuN2 (PBE, optimized geometry)
data_Nb4CuAuN2
_cell_length_a 3.1713
_cell_length_b 3.1713
_cell_length_c 13.2967
_cell_angle_alpha 90.00
_cell_angle_beta 90.00
_cell_angle_gamma 120.00
_space_group_name_H-M_alt 'P -6 m 2'
_space_group_IT_number 187
_space_group_name_Hall 'P -6 2'
loop_
_atom_site_label
_atom_site_type_symbol
_atom_site_fract_x
_atom_site_fract_y
_atom_site_fract_z
Nb1 Nb 0.0000 0.0000 0.1554
Nb2 Nb 0.6667 0.3333 0.3297
Cu1 Cu 0.6667 0.3333 0.0000
Au1 Au 0.0000 0.0000 0.5000
N1 N 0.3333 0.6667 0.2421
# - DFT total energy (eV/atom) = -8.486
# - spin magnetization (μB per atom) = 0.00

# Sc4CuAuN2 (PBE, optimized geometry)
data_Sc4CuAuN2
_cell_length_a 3.2083
_cell_length_b 3.2083
_cell_length_c 13.8021
_cell_angle_alpha 90.00
_cell_angle_beta 90.00
_cell_angle_gamma 120.00
_space_group_name_H-M_alt 'P -6 m 2'
_space_group_IT_number 187
_space_group_name_Hall 'P -6 2'
loop_
_atom_site_label
_atom_site_type_symbol
_atom_site_fract_x
_atom_site_fract_y
_atom_site_fract_z
Sc1 Sc 0.0000 0.0000 0.1534
Sc2 Sc 0.3333 0.6667 0.3350
Cu1 Cu 0.3333 0.6667 0.0000
Au1 Au 0.0000 0.0000 0.5000
N1 N 0.6667 0.3333 0.2460
# - DFT total energy (eV/atom) = -7.181
# - spin magnetization (μB per atom) = 0.00

# Ta4CuAuN2 (PBE, optimized geometry)
data_Ta4CuAuN2
_cell_length_a 3.1368
_cell_length_b 3.1368
_cell_length_c 13.2924
_cell_angle_alpha 90.00
_cell_angle_beta 90.00
_cell_angle_gamma 120.00
_space_group_name_H-M_alt 'P -6 m 2'
_space_group_IT_number 187
_space_group_name_Hall 'P -6 2'
loop_
_atom_site_label
_atom_site_type_symbol
_atom_site_fract_x
_atom_site_fract_y
_atom_site_fract_z
Ta1 Ta 0.0000 0.0000 0.1544
Ta2 Ta 0.3333 0.6667 0.3311
Cu1 Cu 0.3333 0.6667 0.0000
Au1 Au 0.0000 0.0000 0.5000
N1 N 0.6667 0.3333 0.2425
# - DFT total energy (eV/atom) = -9.363
# - spin magnetization (μB per atom) = 0.00

# Na4CuP2Au (PBE, optimized geometry)
data_Na4CuP2Au
_cell_length_a 6.878
_cell_length_b 8.667
_cell_length_c 5.503
_cell_angle_alpha 90.00
_cell_angle_beta 91.00
_cell_angle_gamma 90.00
_space_group_name_H-M_alt 'C 1 2/m 1'
_space_group_IT_number 12
_space_group_name_Hall '-C 2y'
loop_
_atom_site_label
_atom_site_type_symbol
_atom_site_fract_x
_atom_site_fract_y
_atom_site_fract_z
Na1 Na 0.145 0.177 0.249
Cu1 Cu 0.000 0.500 0.000
P1 P 0.227 0.000 0.770
Au1 Au 0.000 0.500 0.500
# - DFT total energy (eV/atom) = -3.314

# Na4CuSi2Au (PBE, optimized geometry)
data_Na4CuSi2Au
_cell_length_a 4.651
_cell_length_b 4.651
_cell_length_c 6.626
_cell_angle_alpha 90.00
_cell_angle_beta 90.00
_cell_angle_gamma 90.00
_space_group_name_H-M_alt 'P -4 m 2'
_space_group_IT_number 115
_space_group_name_Hall 'P -4 -2'
loop_
_atom_site_label
_atom_site_type_symbol
_atom_site_fract_x
_atom_site_fract_y
_atom_site_fract_z
Na1 Na 0.000 0.000 0.000
Na2 Na 0.000 0.500 0.741
Na3 Na 0.500 0.500 0.500
Cu1 Cu 0.000 0.000 0.500
Si1 Si 0.000 0.500 0.257
Au1 Au 0.500 0.500 0.000
# - DFT total energy (eV/atom) = -2.798

# Na4CuSn2Au (PBE, optimized geometry)
data_Na4CuSn2Au
_cell_length_a 4.924
_cell_length_b 4.924
_cell_length_c 6.977
_cell_angle_alpha 90.00
_cell_angle_beta 90.00
_cell_angle_gamma 90.00
_space_group_name_H-M_alt 'P -4 m 2'
_space_group_IT_number 115
_space_group_name_Hall 'P -4 -2'
loop_
_atom_site_label
_atom_site_type_symbol
_atom_site_fract_x
_atom_site_fract_y
_atom_site_fract_z
Na1 Na 0.000 0.000 0.000
Na2 Na 0.000 0.500 0.248
Na3 Na 0.500 0.500 0.500
Cu1 Cu 0.500 0.500 0.000
Sn1 Sn 0.000 0.500 0.759
Au1 Au 0.000 0.000 0.500
# - DFT total energy (eV/atom) = -2.669